TcHg2Ir | PBE | optimized geometry

a b c (Å): 10.2853 10.2853 10.2853
angles (deg): 16.13 16.13 16.13
Positions (direct):
Hg 0.0093 0.0093 0.0093
Hg 0.2416 0.2416 0.2416
Tc 0.7584 0.7584 0.7584
Ir 0.4907 0.4907 0.4907

Values from the calculation:
Relative energy among the computed polymorphs ... 95 meV/atom
Total magnetization ... 0.00 μB/cell
Calculated density ... 15.68 g/cm³
Formation energy ... 0.3063 eV per atom